VASP calculation (GGA-PBE) on a relaxed structure of Tb7Ho4Sc.

a b c (Å): 6.420 6.730 9.046
angles (deg): 86.14 76.31 82.32
Fractional positions:
Tb 0.000 0.000 0.000
Tb 0.191 0.605 0.383
Tb 0.317 0.197 0.637
Tb 0.497 0.745 0.050
Tb 0.503 0.255 0.950
Tb 0.683 0.803 0.363
Tb 0.809 0.395 0.617
Ho 0.163 0.114 0.310
Ho 0.348 0.688 0.720
Ho 0.652 0.312 0.280
Ho 0.837 0.886 0.690
Sc 0.000 0.500 0.000

Summary:
DFT formation energy (eV/atom): 0.100
Space group: P-1
Size of the total moment (μB per atom): 0.000
Total DFT energy (no corrections) (eV/atom): -4.6547
Offset from the most stable computed form (meV/atom): 0.0
Mass density (g/cm³): 8.02